RbRePt | PBE | optimized geometry

The energy comes out at -3.706 eV per atom.

extended XYZ file:
```
12
Lattice="6.916 0.000 0.000 0.000 6.916 0.000 0.000 0.000 6.916" Properties=species:S:1:pos:R:3 pbc="T T T"
Rb 0.000 0.000 0.000
Rb 0.000 3.458 3.458
Rb 3.458 0.000 3.458
Rb 3.458 3.458 0.000
Re 1.729 1.729 1.729
Re 1.729 5.187 5.187
Re 5.187 1.729 5.187
Re 5.187 5.187 1.729
Pt 1.729 1.729 5.187
Pt 1.729 5.187 1.729
Pt 5.187 1.729 1.729
Pt 5.187 5.187 5.187
```